Record 1
Computed, not measured: a relaxed CsZr2Bi2O7 crystal at the PBE-GGA level of DFT.

abc: 4.209 6.435 9.613
angles: 109.56 102.65 90.00
Positions (direct):
1 Cs 0.000 0.090 0.000
2 Zr 0.393 0.476 0.785
3 Zr 0.607 0.691 0.215
4 Bi 0.264 0.790 0.529
5 Bi 0.736 0.261 0.471
6 O 0.388 0.775 0.777
7 O 0.720 0.654 0.439
8 O 0.128 0.667 0.256
9 O 0.612 0.998 0.223
10 O 0.280 0.215 0.561
11 O 0.872 0.411 0.744
12 O 0.500 0.473 0.000

Formation energy from raw total energies ... -2101 meV/atom

***

Record 2
Computed, not measured: a relaxed Cs2Zr2BiO7 crystal at the PBE-GGA level of DFT.

abc: 4.167 4.167 12.733
angles: 80.58 80.58 90.00
Positions (direct):
1 Cs 0.807 0.807 0.386
2 Cs 0.193 0.193 0.614
3 Zr 0.587 0.587 0.825
4 Zr 0.413 0.413 0.175
5 Bi 0.000 0.000 0.000
6 O 0.500 0.500 0.000
7 O 0.333 0.333 0.335
8 O 0.667 0.667 0.665
9 O 0.931 0.431 0.139
10 O 0.431 0.931 0.139
11 O 0.569 0.069 0.861
12 O 0.069 0.569 0.861

Formation energy from raw total energies ... -2144 meV/atom

***

Record 3
Computed, not measured: a relaxed CsZrBiO2 crystal at the PBE-GGA level of DFT.

abc: 4.399 6.068 4.399
angles: 90.00 90.00 90.00
Positions (direct):
1 Cs 0.500 0.500 0.500
2 O 0.000 0.000 0.500
3 O 0.500 0.000 0.000
4 Bi 0.000 0.500 0.000
5 Zr 0.000 0.000 0.000

Formation energy from raw total energies ... -1133 meV/atom

***

Record 4
Computed, not measured: a relaxed CsBi3Os crystal at the PBE-GGA level of DFT.

abc: 6.202 6.202 6.202
angles: 90.00 90.00 90.00
Positions (direct):
1 Cs 0.000 0.000 0.000
2 Os 0.500 0.500 0.500
3 Bi 0.000 0.500 0.000
4 Bi 0.000 0.000 0.500
5 Bi 0.500 0.000 0.000

E_form ... 2632 meV per atom
ΔE to the lowest computed polymorph ... 2.090 eV per atom

***

Record 5
Computed, not measured: a relaxed CsBi3Os crystal at the PBE-GGA level of DFT.

abc: 5.573 5.573 5.573
angles: 90.00 90.00 90.00
Positions (direct):
1 Cs 0.500 0.500 0.500
2 Bi 0.000 0.500 0.000
3 Bi 0.000 0.000 0.500
4 Bi 0.500 0.000 0.000
5 Os 0.000 0.000 0.000

E_form ... 542 meV per atom
ΔE to the lowest computed polymorph ... 0.000 eV per atom

***

Record 6
Computed, not measured: a relaxed CsBiP3 crystal at the PBE-GGA level of DFT.

abc: 5.458 5.458 5.458
angles: 90.00 90.00 90.00
Positions (direct):
1 Cs 0.500 0.500 0.500
2 P 0.000 0.500 0.000
3 P 0.000 0.000 0.500
4 P 0.500 0.000 0.000
5 Bi 0.000 0.000 0.000

E_form ... 792 meV per atom
ΔE to the lowest computed polymorph ... 0.000 eV per atom

***

Record 7
Computed, not measured: a relaxed Cs8BiP2 crystal at the PBE-GGA level of DFT.

abc: 5.992 9.591 10.902
angles: 116.10 105.95 90.00
Positions (direct):
1 Cs 0.665 0.883 0.331
2 Cs 0.335 0.552 0.669
3 Cs 0.152 0.152 0.305
4 Cs 0.000 0.302 0.000
5 Cs 0.848 0.848 0.695
6 Cs 0.665 0.448 0.331
7 Cs 0.335 0.117 0.669
8 Cs 0.000 0.698 0.000
9 Bi 0.500 0.000 0.000
10 P 0.182 0.682 0.364
11 P 0.818 0.318 0.636

E_form ... -176 meV per atom

***

Record 8
Computed, not measured: a relaxed CsBiP crystal at the PBE-GGA level of DFT.

abc: 5.595 6.961 7.723
angles: 95.82 110.79 112.86
Positions (direct):
1 Cs 0.220 0.133 0.803
2 Cs 0.780 0.867 0.197
3 Bi 0.272 0.596 0.453
4 Bi 0.728 0.404 0.547
5 P 0.978 0.383 0.081
6 P 0.022 0.617 0.919

E_form ... -249 meV per atom
ΔE to the lowest computed polymorph ... 0.000 eV per atom

***

no.,E_tot (eV for the cell shown)
1,-85.631
2,-83.115
3,-28.866
4,-10.565
5,-21.015
6,-17.003
7,-23.470
8,-21.786